Record 1
Entry from Alexandria: a relaxed AcTbGe crystal (GGA-PBE). Values from VASP.

formation energy from the elements	-0.42	eV/atom
energy above the lowest structure with this stoichiometry	0.143	eV per atom
total magnetization	0.0	μB per cell
D(E_F)	3.224	states/eV per cell

Geometry as Quantum ESPRESSO input:
```
&SYSTEM
  ibrav = 0, nat = 3, ntyp = 3
/
ATOMIC_SPECIES
Ac 227.00 Ac.upf
Tb 158.93 Tb.upf
Ge 72.64 Ge.upf
CELL_PARAMETERS angstrom
0.000 3.653 3.653
3.653 0.000 3.653
3.653 3.653 0.000
ATOMIC_POSITIONS angstrom
Ac 0.000 0.000 0.000
Tb 3.653 3.653 3.653
Ge 1.826 1.826 1.826
```

Record 2
Entry from Alexandria: a relaxed AcTbGe2 crystal (GGA-PBE). Values from VASP.

formation energy from the elements	-0.62	eV/atom
total magnetization	0.0	μB per cell
D(E_F)	3.194	states/eV per cell

Geometry as Quantum ESPRESSO input:
```
&SYSTEM
  ibrav = 0, nat = 4, ntyp = 3
/
ATOMIC_SPECIES
Ac 227.00 Ac.upf
Tb 158.93 Tb.upf
Ge 72.64 Ge.upf
CELL_PARAMETERS angstrom
4.245 -2.295 0.000
4.245 2.295 0.000
-2.525 0.000 5.895
ATOMIC_POSITIONS angstrom
Ac 0.000 0.000 0.000
Tb 2.983 0.000 2.948
Ge 0.244 0.000 4.106
Ge 5.721 0.000 1.789
```

Record 3
Entry from Alexandria: a relaxed Ac4TbGe4 crystal (GGA-PBE). Values from VASP.

formation energy from the elements	-0.56	eV/atom
total magnetization	0.0	μB per cell
D(E_F)	16.302	states/eV per cell

Geometry as Quantum ESPRESSO input:
```
&SYSTEM
  ibrav = 0, nat = 18, ntyp = 3
/
ATOMIC_SPECIES
Ac 227.00 Ac.upf
Tb 158.93 Tb.upf
Ge 72.64 Ge.upf
CELL_PARAMETERS angstrom
9.429 0.000 0.000
0.000 9.429 0.000
0.000 0.000 6.542
ATOMIC_POSITIONS angstrom
Ac 0.479 6.373 0.735
Ac 1.659 8.950 4.006
Ac 3.056 5.194 4.006
Ac 4.236 7.771 0.735
Ac 5.194 1.659 5.807
Ac 6.373 4.236 2.536
Ac 7.771 0.479 2.536
Ac 8.950 3.056 5.807
Tb 2.357 2.357 1.635
Tb 7.072 7.072 4.906
Ge 0.017 3.538 2.639
Ge 1.177 0.017 0.632
Ge 3.538 4.698 0.632
Ge 4.698 1.177 2.639
Ge 4.731 8.252 3.903
Ge 5.891 4.731 5.909
Ge 8.252 9.413 5.909
Ge 9.413 5.891 3.903
```

Record 4
Entry from Alexandria: a relaxed AcTbGe crystal (GGA-PBE). Values from VASP.

formation energy from the elements	-0.42	eV/atom
energy above the lowest structure with this stoichiometry	0.137	eV per atom
total magnetization	0.0	μB per cell
D(E_F)	0.773	states/eV per cell

Geometry as Quantum ESPRESSO input:
```
&SYSTEM
  ibrav = 0, nat = 3, ntyp = 3
/
ATOMIC_SPECIES
Ac 227.00 Ac.upf
Tb 158.93 Tb.upf
Ge 72.64 Ge.upf
CELL_PARAMETERS angstrom
4.911 0.000 0.000
-2.455 4.253 0.000
0.000 0.000 4.599
ATOMIC_POSITIONS angstrom
Ac 0.000 0.000 0.000
Tb 0.000 2.835 2.300
Ge 2.455 1.418 2.291
```

Record 5
Entry from Alexandria: a relaxed AcTbTlGe crystal (GGA-PBE). Values from VASP.

formation energy from the elements	-0.39	eV/atom
total magnetization	0.0	μB per cell
D(E_F)	2.958	states/eV per cell

Geometry as Quantum ESPRESSO input:
```
&SYSTEM
  ibrav = 0, nat = 4, ntyp = 4
/
ATOMIC_SPECIES
Ac 227.00 Ac.upf
Tb 158.93 Tb.upf
Tl 204.38 Tl.upf
Ge 72.64 Ge.upf
CELL_PARAMETERS angstrom
0.000 3.872 3.872
3.872 0.000 3.872
3.872 3.872 0.000
ATOMIC_POSITIONS angstrom
Ac 0.000 0.000 0.000
Tb 3.872 3.872 3.872
Tl 1.936 1.936 1.936
Ge 5.808 5.808 5.808
```

Record 6
Entry from Alexandria: a relaxed AcTbZn2Ge2 crystal (GGA-PBE). Values from VASP.

formation energy from the elements	-0.63	eV/atom
total magnetization	0.0	μB per cell
D(E_F)	3.790	states/eV per cell

Geometry as Quantum ESPRESSO input:
```
&SYSTEM
  ibrav = 0, nat = 6, ntyp = 4
/
ATOMIC_SPECIES
Ac 227.00 Ac.upf
Tb 158.93 Tb.upf
Zn 65.41 Zn.upf
Ge 72.64 Ge.upf
CELL_PARAMETERS angstrom
4.271 0.000 0.000
-2.135 3.698 0.000
0.000 0.000 8.697
ATOMIC_POSITIONS angstrom
Ac 0.000 0.000 0.000
Tb 0.000 0.000 4.348
Zn 0.000 2.466 6.378
Zn 2.135 1.233 2.318
Ge 0.000 2.466 2.399
Ge 2.135 1.233 6.298
```

Record 7
Entry from Alexandria: a relaxed Ac2TcGe5 crystal (GGA-PBE). Values from VASP.

formation energy from the elements	-0.38	eV/atom
total magnetization	0.0	μB per cell
D(E_F)	4.748	states/eV per cell

Geometry as Quantum ESPRESSO input:
```
&SYSTEM
  ibrav = 0, nat = 8, ntyp = 3
/
ATOMIC_SPECIES
Ac 227.00 Ac.upf
Tc 98.00 Tc.upf
Ge 72.64 Ge.upf
CELL_PARAMETERS angstrom
-3.141 3.141 4.828
3.141 -3.141 4.828
3.141 3.141 -4.828
ATOMIC_POSITIONS angstrom
Ac 3.141 0.000 0.000
Ac 0.000 3.141 0.000
Tc 0.000 0.000 2.848
Ge 1.790 1.790 2.440
Ge 1.352 -1.352 7.268
Ge 0.000 0.000 5.312
Ge -1.352 1.352 7.268
Ge 1.352 1.352 7.268
```

Record 8
Entry from Alexandria: a relaxed AcTcGe3 crystal (GGA-PBE). Values from VASP.

formation energy from the elements	-0.15	eV/atom
energy above the lowest structure with this stoichiometry	0.315	eV per atom
total magnetization	0.0	μB per cell
D(E_F)	6.059	states/eV per cell

Geometry as Quantum ESPRESSO input:
```
&SYSTEM
  ibrav = 0, nat = 5, ntyp = 3
/
ATOMIC_SPECIES
Ac 227.00 Ac.upf
Tc 98.00 Tc.upf
Ge 72.64 Ge.upf
CELL_PARAMETERS angstrom
4.895 0.000 0.000
0.000 4.895 0.000
0.000 0.000 4.895
ATOMIC_POSITIONS angstrom
Ac 0.000 0.000 0.000
Tc 2.447 2.447 2.447
Ge 0.000 2.447 2.447
Ge 2.447 0.000 2.447
Ge 2.447 2.447 0.000
```

Record 9
Entry from Alexandria: a relaxed AcTc3Ge3 crystal (GGA-PBE). Values from VASP.

formation energy from the elements	-0.27	eV/atom
energy above the lowest structure with this stoichiometry	0.000	eV per atom
total magnetization	0.0	μB per cell
D(E_F)	5.918	states/eV per cell

Geometry as Quantum ESPRESSO input:
```
&SYSTEM
  ibrav = 0, nat = 14, ntyp = 3
/
ATOMIC_SPECIES
Ac 227.00 Ac.upf
Tc 98.00 Tc.upf
Ge 72.64 Ge.upf
CELL_PARAMETERS angstrom
8.706 0.000 0.000
0.000 4.457 0.000
-4.336 0.000 7.550
ATOMIC_POSITIONS angstrom
Ac 0.003 1.114 2.521
Ac 4.367 3.343 5.029
Tc -1.030 3.343 6.397
Tc 2.832 1.114 0.332
Tc 0.492 1.114 6.068
Tc 3.878 3.343 1.482
Tc 1.538 3.343 7.218
Tc 5.400 1.114 1.153
Ge -1.966 1.114 5.307
Ge 1.417 3.343 0.593
Ge 0.969 3.343 4.710
Ge 3.401 1.114 2.840
Ge 2.954 1.114 6.957
Ge 6.336 3.343 2.243
```

Record 10
Entry from Alexandria: a relaxed Ac2Tc3Ge5 crystal (GGA-PBE). Values from VASP.

formation energy from the elements	-0.40	eV/atom
total magnetization	0.8	μB per cell
D(E_F)	13.475	states/eV per cell

Geometry as Quantum ESPRESSO input:
```
&SYSTEM
  ibrav = 0, nat = 20, ntyp = 3
/
ATOMIC_SPECIES
Ac 227.00 Ac.upf
Tc 98.00 Tc.upf
Ge 72.64 Ge.upf
CELL_PARAMETERS angstrom
-5.140 6.525 3.014
5.140 -6.525 3.014
5.140 6.525 -3.014
ATOMIC_POSITIONS angstrom
Ac 2.413 1.745 0.000
Ac 2.413 -1.745 3.014
Ac 2.727 8.271 0.000
Ac 2.727 4.780 3.014
Tc 4.204 -4.603 3.014
Tc 5.140 0.000 1.507
Tc 4.204 4.603 0.000
Tc 0.936 1.922 3.014
Tc 0.000 6.525 1.507
Tc 0.936 11.128 0.000
Ge 5.140 -2.765 1.507
Ge 6.900 1.230 0.000
Ge 0.000 0.000 1.507
Ge 1.761 5.295 0.000
Ge 5.140 2.765 1.507
Ge 0.000 3.760 1.507
Ge 3.379 1.230 3.014
Ge 0.000 0.000 4.521
Ge -1.761 5.295 3.014
Ge 0.000 9.290 1.507
```

Record 11
Entry from Alexandria: a relaxed Ac3Tc2Ge7 crystal (GGA-PBE). Values from VASP.

formation energy from the elements	-0.48	eV/atom
total magnetization	0.0	μB per cell
D(E_F)	6.674	states/eV per cell

Geometry as Quantum ESPRESSO input:
```
&SYSTEM
  ibrav = 0, nat = 12, ntyp = 3
/
ATOMIC_SPECIES
Ac 227.00 Ac.upf
Tc 98.00 Tc.upf
Ge 72.64 Ge.upf
CELL_PARAMETERS angstrom
4.598 0.000 0.000
0.000 4.599 0.000
-2.273 0.000 13.290
ATOMIC_POSITIONS angstrom
Ac 0.000 0.000 0.000
Ac 0.022 2.300 8.393
Ac 2.302 2.300 4.897
Tc 0.000 0.000 3.328
Tc 2.324 0.000 9.962
Ge 0.000 2.300 2.393
Ge 0.004 0.000 5.805
Ge 0.025 0.000 10.930
Ge 2.299 2.300 0.000
Ge 2.299 0.000 2.360
Ge 2.320 0.000 7.485
Ge 2.324 2.300 10.897
```

What is the formula in the fifth record? AcTbTlGe